No. 1
Density functional theory data (PBE-GGA) for an optimized crystal structure of LaCe2UP4.

Summary:
- E_form (eV/atom) = -1.34

Cell and atoms, written as POSCAR:
```
LaCe2UP4
1.0
5.7952 0.0030 0.0000
-0.0029 5.7953 -0.0001
-2.8962 -2.8992 5.7976
La Ce U P
1 2 1 4
Cartesian
2.8962 2.8991 0.0000
-0.0014 2.8976 2.8988
0.0000 0.0000 0.0000
2.8976 0.0014 2.8988
2.8976 0.0014 5.7097
2.8976 0.0015 0.0879
2.8962 2.8990 2.9531
0.0000 0.0000 2.8445
```

---

No. 2
Density functional theory data (PBE-GGA) for an optimized crystal structure of PrNiBi3.

Summary:
- E_form (eV/atom) = -0.39

Cell and atoms, written as POSCAR:
```
PrNiBi3
1.0
6.3789 0.0000 0.0000
0.0000 6.5203 0.0000
0.0000 0.0000 12.9889
Pr Ni Bi
4 4 12
Cartesian
4.7842 3.2969 9.0769
1.5947 3.2234 3.9120
4.7842 0.0367 3.9120
1.5947 6.4836 9.0769
3.1894 1.6301 1.3834
0.0000 4.8902 11.6055
3.1894 4.8902 11.6055
0.0000 1.6301 1.3834
0.0000 1.6301 6.4853
3.1894 4.8902 6.5036
0.0000 4.8902 6.5036
3.1894 1.6301 6.4853
1.5947 0.6092 12.4017
4.7842 5.9111 0.5872
1.5947 3.8693 0.5872
4.7842 2.6510 12.4017
1.5947 3.2525 10.0641
4.7842 3.2678 2.9248
1.5947 6.5126 2.9248
4.7842 0.0077 10.0641
```

---

No. 3
Density functional theory data (PBE-GGA) for an optimized crystal structure of Sr3CaS.

Cell and atoms, written as POSCAR:
```
Sr3CaS
1.0
-6.1577 2.2767 1.0704
-1.8796 -2.2821 -5.9586
-1.6722 -5.8185 2.7559
Sr Ca S
3 1 1
Cartesian
-0.9398 -1.1411 -2.9793
-0.8361 -2.9092 1.3780
-3.0788 1.1383 0.5352
0.0000 0.0000 0.0000
-4.8547 -2.9120 -1.0661
```

---

No. 4
Density functional theory data (PBE-GGA) for an optimized crystal structure of TlCr3Pd.

Summary:
- E_form (eV/atom) = 1.13

Cell and atoms, written as POSCAR:
```
TlCr3Pd
1.0
4.9198 0.0000 0.0000
0.0000 4.9198 0.0000
0.0000 0.0000 4.9198
Cr Tl Pd
3 1 1
Cartesian
0.0000 2.4599 0.0000
0.0000 0.0000 2.4599
2.4599 0.0000 0.0000
2.4599 2.4599 2.4599
0.0000 0.0000 0.0000
```

---

No. 5
Density functional theory data (PBE-GGA) for an optimized crystal structure of MgCrSi2.

Cell and atoms, written as POSCAR:
```
MgCrSi2
1.0
-2.9143 2.7850 -1.3907
-2.9465 0.2088 -3.0754
-4.2843 -1.5955 2.5217
Cr Mg Si
1 1 2
Cartesian
-2.5363 0.3496 -0.4861
-7.6088 1.0487 -1.4583
-6.0958 2.8174 -4.1920
-4.8376 0.8755 -1.2464
```

---

No. 6
Density functional theory data (PBE-GGA) for an optimized crystal structure of TiGaTc3.

Summary:
- E_form (eV/atom) = 1.22

Cell and atoms, written as POSCAR:
```
TiGaTc3
1.0
-0.4437 4.4419 0.6137
-4.4743 -0.3979 -0.3547
-0.2954 -0.6443 4.4499
Tc Ga Ti
3 1 1
Cartesian
-2.2372 -0.1990 -0.1773
-0.1477 -0.3222 2.2249
-0.2219 2.2209 0.3069
0.0000 0.0000 0.0000
-2.6067 1.6998 2.3545
```

---

No. 7
Density functional theory data (PBE-GGA) for an optimized crystal structure of SmYTlIn.

Summary:
- E_form (eV/atom) = -0.44

Cell and atoms, written as POSCAR:
```
SmYTlIn
1.0
5.3971 0.0000 0.0000
2.6985 4.6740 0.0000
2.6985 1.5580 4.4067
Y Tl Sm In
1 1 1 1
Cartesian
8.0956 4.6740 3.3050
0.0000 0.0000 0.0000
2.6985 1.5580 1.1017
5.3971 3.1160 2.2034
```

---

No. 8
Density functional theory data (PBE-GGA) for an optimized crystal structure of NbH2Pb.

Cell and atoms, written as POSCAR:
```
NbH2Pb
1.0
1.5394 2.5188 2.9791
-1.5018 -0.2151 3.9099
2.3705 -1.5909 3.0722
Pb H Nb
1 2 1
Cartesian
1.2040 0.3564 4.9806
0.6020 0.1782 2.4903
1.8061 0.5346 7.4709
0.0000 0.0000 0.0000
```

---

No. 9
Density functional theory data (PBE-GGA) for an optimized crystal structure of Cs2DyMn2Se4.

Cell and atoms, written as POSCAR:
```
Cs2DyMn2Se4
1.0
-4.0424 -0.3796 1.2920
2.1041 -6.8284 4.5769
2.8744 6.5240 3.8843
Cs Dy Mn Se
2 1 2 4
Cartesian
1.3930 -2.0877 3.7448
-0.4569 1.4037 6.0084
0.0000 0.0000 0.0000
0.3522 -4.6358 6.7654
0.5839 3.9518 2.9878
0.6679 1.3872 2.4973
0.2681 -2.0711 7.2559
-0.3405 -5.2500 4.4178
1.2766 4.5660 5.3354
```

---

No. 10
Density functional theory data (PBE-GGA) for an optimized crystal structure of In2HgBr.

Cell and atoms, written as POSCAR:
```
In2HgBr
1.0
-1.4725 5.3026 0.3893
-1.4124 2.1185 4.8943
3.3325 3.6113 2.5080
Hg Br In
1 1 2
Cartesian
0.3357 8.2742 5.8437
0.2238 5.5162 3.8958
0.0000 0.0000 0.0000
0.1119 2.7581 1.9479
```

---

No. 11
Density functional theory data (PBE-GGA) for an optimized crystal structure of Tb2PmNd2Er2.

Summary:
- E_form (eV/atom) = 0.24

Cell and atoms, written as POSCAR:
```
Tb2PmNd2Er2
1.0
3.5396 0.0000 0.0000
-1.7698 19.0454 -1.0490
0.0000 -11.1499 4.3031
Tb Pm Nd Er
2 1 2 2
Cartesian
1.7698 16.9147 -0.3011
0.0000 -9.0192 3.5552
0.0000 -5.5749 2.1516
1.7698 8.0656 -0.4340
0.0000 -0.1701 3.6882
1.7698 4.9110 0.6669
0.0000 2.9845 2.5873
```

---

No. 12
Density functional theory data (PBE-GGA) for an optimized crystal structure of Na3BiAu.

Summary:
- E_form (eV/atom) = 0.13

Cell and atoms, written as POSCAR:
```
Na3BiAu
1.0
5.9357 0.0000 0.0000
0.0000 5.9357 0.0000
0.0000 0.0000 5.9357
Na Au Bi
3 1 1
Cartesian
0.0000 2.9678 0.0000
0.0000 0.0000 2.9678
2.9678 0.0000 0.0000
2.9678 2.9678 2.9678
0.0000 0.0000 0.0000
```

---

No. 13
Density functional theory data (PBE-GGA) for an optimized crystal structure of YMnIrRh.

Summary:
- E_form (eV/atom) = -0.38

Cell and atoms, written as POSCAR:
```
YMnIrRh
1.0
4.6049 0.0000 0.0000
2.3025 3.9880 0.0000
2.3025 1.3293 3.7599
Y Ir Rh Mn
1 1 1 1
Cartesian
6.9074 3.9880 2.8199
4.6049 2.6587 1.8800
0.0000 0.0000 0.0000
2.3025 1.3293 0.9400
```

---

No. 14
Density functional theory data (PBE-GGA) for an optimized crystal structure of CaMn3V.

Summary:
- E_form (eV/atom) = 0.63

Cell and atoms, written as POSCAR:
```
CaMn3V
1.0
-0.1006 4.4992 0.8162
-0.8961 -0.8200 4.4095
4.4840 -0.0630 0.8996
Ca Mn V
1 3 1
Cartesian
1.7436 1.8081 3.0626
-0.4481 -0.4100 2.2048
2.2420 -0.0315 0.4498
-0.0503 2.2496 0.4081
0.0000 0.0000 0.0000
```

---

No. 15
Density functional theory data (PBE-GGA) for an optimized crystal structure of KRbPd.

Summary:
- E_form (eV/atom) = 0.18

Cell and atoms, written as POSCAR:
```
KRbPd
1.0
-0.9212 1.7776 3.5278
-3.8653 -1.1534 -0.4281
3.9751 -7.0215 2.2440
K Pd Rb
1 1 1
Cartesian
1.0616 -4.5027 2.5461
-0.9854 -5.6589 4.9262
-2.1734 -0.6202 2.0770
```

---

No. 16
Density functional theory data (PBE-GGA) for an optimized crystal structure of Ac4NiSn3.

Summary:
- E_form (eV/atom) = -0.54

Cell and atoms, written as POSCAR:
```
Ac4NiSn3
1.0
-3.0818 -0.6411 -3.6444
3.1532 -2.5493 -2.2180
-4.2598 -9.9217 5.3476
Ac Ni Sn
4 1 3
Cartesian
-1.4139 -4.9717 -1.1113
-2.1611 -9.9804 3.5832
-0.5781 -1.3464 0.7257
-4.2862 -6.7148 1.6242
-0.2359 -2.2279 -2.5902
-0.9125 -7.0722 2.0158
-1.7785 -4.1424 2.2327
-5.5300 -9.6119 3.1856
```

---

No. 17
Density functional theory data (PBE-GGA) for an optimized crystal structure of VGaCu.

Summary:
- E_form (eV/atom) = 0.01

Cell and atoms, written as POSCAR:
```
VGaCu
1.0
3.5786 -1.9555 1.8945
4.4723 -0.4565 -0.0976
1.7017 5.2989 4.7509
V Ga Cu
2 2 2
Cartesian
3.9874 2.2420 3.4760
5.7651 0.6450 3.0718
6.2753 2.5794 4.7563
3.4773 0.3076 1.7915
1.1803 0.1200 0.6198
8.5723 2.7670 5.9280
```

---

No. 18
Density functional theory data (PBE-GGA) for an optimized crystal structure of Ac4Pr6Sm.

Summary:
- E_form (eV/atom) = 0.24

Cell and atoms, written as POSCAR:
```
Ac4Pr6Sm
1.0
-3.5025 5.9472 -7.0565
-2.9948 -8.1394 4.7130
0.4807 0.0133 9.8590
Ac Pr Sm
4 6 1
Cartesian
-1.8710 -5.1025 3.0871
-2.2918 -0.7330 2.7092
0.2612 -0.1010 6.2440
-4.6291 -4.3684 10.0473
-2.1029 -6.2776 7.9253
-0.9311 -3.5289 9.6603
-2.6018 -2.5875 5.8566
-3.2487 -1.0961 -1.1717
-2.8949 2.0892 -1.3546
-1.5109 2.9802 1.4013
0.0000 0.0000 0.0000
```

---

No. 19
Density functional theory data (PBE-GGA) for an optimized crystal structure of LiTaAlRu.

Summary:
- E_form (eV/atom) = -0.37

Cell and atoms, written as POSCAR:
```
LiTaAlRu
1.0
4.3534 0.0000 0.0000
2.1767 3.7702 0.0000
2.1767 1.2567 3.5545
Ru Li Al Ta
1 1 1 1
Cartesian
0.0000 0.0000 0.0000
4.3534 2.5134 1.7773
2.1767 1.2567 0.8886
6.5301 3.7702 2.6659
```

---

No. 20
Density functional theory data (PBE-GGA) for an optimized crystal structure of SmAg2Au.

Summary:
- E_form (eV/atom) = -0.26

Cell and atoms, written as POSCAR:
```
SmAg2Au
1.0
4.8130 0.0000 0.0000
0.0000 4.2776 0.0000
0.0000 0.0000 4.2776
Au Ag Sm
1 2 1
Cartesian
2.4065 2.1388 2.1388
0.0000 0.0000 2.1388
0.0000 2.1388 0.0000
2.4065 0.0000 0.0000
```

---

No. 21
Density functional theory data (PBE-GGA) for an optimized crystal structure of MnCoAu2.

Summary:
- E_form (eV/atom) = 0.18

Cell and atoms, written as POSCAR:
```
MnCoAu2
1.0
8.9425 -0.0959 -0.0562
8.5171 2.7272 -0.0562
8.5171 1.2836 2.4069
Au Co Mn
2 1 1
Cartesian
0.1647 0.0248 0.0145
6.3096 0.9509 0.5573
12.7974 1.9286 1.1304
19.6933 2.9679 1.7394
```

---

No. 22
Density functional theory data (PBE-GGA) for an optimized crystal structure of SmLuTcAg.

Summary:
- E_form (eV/atom) = -0.10

Cell and atoms, written as POSCAR:
```
SmLuTcAg
1.0
4.9726 0.0000 0.0000
2.4863 4.3064 0.0000
2.4863 1.4355 4.0601
Lu Ag Sm Tc
1 1 1 1
Cartesian
0.0000 0.0000 0.0000
2.4863 1.4355 1.0150
4.9726 2.8709 2.0301
7.4589 4.3064 3.0451
```

---

No. 23
Density functional theory data (PBE-GGA) for an optimized crystal structure of Ca5Hg2H.

Cell and atoms, written as POSCAR:
```
Ca5Hg2H
1.0
7.3938 0.0057 -0.0017
0.0059 7.3937 -0.0017
-3.7006 -3.7005 4.3236
Ca Hg H
5 2 1
Cartesian
5.5993 1.8007 0.0340
1.7974 1.7973 0.0343
5.6023 5.6021 0.0338
1.8008 5.5992 0.0339
3.6991 3.6991 2.1171
0.0021 3.6963 2.2186
3.6963 0.0019 2.2185
0.0005 0.0005 0.0157
```

---

No. 24
Density functional theory data (PBE-GGA) for an optimized crystal structure of NaCaPmF6.

Cell and atoms, written as POSCAR:
```
NaCaPmF6
1.0
5.9248 0.0000 0.0000
-2.9624 5.1310 0.0000
0.0000 0.0000 9.6853
Na Ca Pm F
2 2 2 12
Cartesian
0.0000 3.4207 2.4213
2.9624 1.7103 7.2640
0.0000 0.0000 0.0000
0.0000 0.0000 4.8427
2.9624 1.7103 2.4213
0.0000 3.4207 7.2640
2.0358 3.4298 1.2502
4.9148 1.6530 1.2502
-1.0258 5.0829 6.0928
-1.9524 3.4780 8.4352
1.0100 1.6530 3.5925
3.8890 3.4298 3.5925
1.0258 5.0829 8.4352
3.9882 0.0482 3.5925
-0.9266 1.7012 6.0928
1.9366 0.0482 1.2502
1.9524 3.4780 6.0928
0.9266 1.7012 8.4352
```

---

No. 25
Density functional theory data (PBE-GGA) for an optimized crystal structure of KAlNi.

Summary:
- E_form (eV/atom) = 0.24

Cell and atoms, written as POSCAR:
```
KAlNi
1.0
-1.2298 0.8287 3.7853
-2.0525 -2.6824 -2.2628
3.2061 -4.0867 1.9363
Ni K Al
1 1 1
Cartesian
1.1693 -3.7494 3.3839
-0.7106 -2.8729 0.3981
2.6710 -3.4047 1.6132
```

---

No. 26
Density functional theory data (PBE-GGA) for an optimized crystal structure of Zr2TlAs.

Summary:
- E_form (eV/atom) = -0.28

Cell and atoms, written as POSCAR:
```
Zr2TlAs
1.0
4.6009 0.0000 0.0000
0.0000 4.6009 0.0000
0.0000 0.0000 3.9992
Tl As Zr
1 1 2
Cartesian
0.0000 2.3005 1.9996
2.3005 0.0000 1.9996
0.0000 0.0000 0.0000
2.3005 2.3005 0.0000
```

---

What are the DFT total energy values for these records? In order: -7.558 -4.828 -1.537 -6.153 -5.526 -7.188 -4.508 -4.152 -5.383 -1.948 -4.430 -2.089 -8.344 -7.094 -2.243 -4.822 -5.400 -4.290 -7.069 -3.680 -5.528 -5.712 -1.991 -5.833 -3.305 -6.311 eV per atom.